Crystalline SrGe3Pt at its relaxed geometry, computed with PBE.

Total moment, μB/cell: 0.00
Electronic total energy, eV/atom: -4.37
Energy of formation, eV per atom: -0.05

Lattice parameters (Å, degrees): 5.020 5.020 5.020 90.00 90.00 90.00
Space group Pm-3m (No. 221)
One atom of each set of equivalent atoms:
Sr1 0.000 0.000 0.000 x1
Ge1 0.000 0.500 0.500 x3
Pt1 0.500 0.500 0.500 x1